A plane-wave DFT calculation with PBEsol was carried out for NbHgN2O after structural relaxation.

Structure (POSCAR):
```
NbHgN2O
1.0
3.925 0.000 0.000
0.000 4.139 0.000
0.000 0.000 4.139
N Hg O Nb
2 1 1 1
Direct
0.000 0.000 0.500 N
0.000 0.500 0.000 N
0.500 0.500 0.500 Hg
0.500 0.000 0.000 O
0.000 0.000 0.000 Nb
```

Computed properties:
**Energy relative to the elements, uncorrected**: -0.06 eV/atom
**Spin magnetization**: 0.55 μB per formula unit

***

A plane-wave DFT calculation with PBEsol was carried out for La2Ge2Pd after structural relaxation.

Structure (POSCAR):
```
La2Ge2Pd
1.0
-3.576 -1.923 -2.547
3.552 -5.781 -0.622
-2.822 -2.351 5.738
Pd La Ge
2 4 4
Direct
0.000 0.000 0.000 Pd
0.000 0.500 0.500 Pd
0.500 0.327 0.173 La
0.500 0.673 0.827 La
0.500 0.173 0.673 La
0.500 0.827 0.327 La
0.000 0.864 0.636 Ge
0.000 0.636 0.136 Ge
0.000 0.136 0.364 Ge
0.000 0.364 0.864 Ge
```

Computed properties:
**Energy relative to the elements**: -0.838 eV/atom
**Spin magnetization**: 0.00 μB per formula unit

***

A plane-wave DFT calculation with PBEsol was carried out for InAgSb after structural relaxation.

Structure (POSCAR):
```
InAgSb
1.0
3.239 0.062 0.000
-0.078 3.239 0.000
-1.581 -1.650 6.437
In Sb Ag
1 1 1
Direct
0.348 0.348 0.697 In
0.652 0.652 0.304 Sb
0.000 0.000 0.999 Ag
```

Computed properties:
**Energy relative to the elements, uncorrected**: 0.08 eV/atom
**Spin magnetization**: 0.00 μB per formula unit

***

A plane-wave DFT calculation with PBEsol was carried out for TlPb after structural relaxation.

Structure (POSCAR):
```
TlPb
1.0
-1.368 0.959 2.942
1.696 -2.920 -0.205
10.157 5.700 2.865
Tl Pb
2 2
Direct
0.667 0.333 0.680 Tl
0.333 0.667 0.180 Tl
0.667 0.333 0.949 Pb
0.333 0.667 0.449 Pb
```

Computed properties:
**Energy relative to the elements**: 0.055 eV/atom
**Spin magnetization**: 0.00 μB per formula unit

***

A plane-wave DFT calculation with PBEsol was carried out for NaCrSbI2 after structural relaxation.

Structure (POSCAR):
```
NaCrSbI2
1.0
5.079 0.000 0.000
0.000 5.633 0.000
0.000 0.000 5.633
I Na Cr Sb
2 1 1 1
Direct
0.000 0.000 0.500 I
0.000 0.500 0.000 I
0.500 0.500 0.500 Na
0.000 0.000 0.000 Cr
0.500 0.000 0.000 Sb
```

Computed properties:
**Energy relative to the elements, uncorrected**: -0.08 eV/atom
**Spin magnetization**: 2.56 μB per formula unit

***

A plane-wave DFT calculation with PBEsol was carried out for LaCo2Cu after structural relaxation.

Structure (POSCAR):
```
LaCo2Cu
1.0
-3.049 -2.737 0.467
0.357 -3.032 2.772
-2.845 0.798 4.306
Cu Co La
1 2 1
Direct
0.000 0.000 0.000 Cu
0.320 0.320 0.039 Co
0.680 0.680 0.961 Co
0.500 0.500 0.500 La
```

Computed properties:
**Energy relative to the elements**: -0.020 eV/atom
**Spin magnetization**: 1.16 μB per formula unit

***

A plane-wave DFT calculation with PBEsol was carried out for RuRh after structural relaxation.

Structure (POSCAR):
```
RuRh
1.0
2.661 0.000 0.000
0.000 2.661 0.000
0.000 0.000 7.554
Rh Ru
2 2
Direct
0.000 0.500 0.872 Rh
0.500 0.000 0.128 Rh
0.000 0.500 0.377 Ru
0.500 0.000 0.623 Ru
```

Computed properties:
**Energy relative to the elements**: 0.030 eV/atom
**Spin magnetization**: 0.00 μB per formula unit

***

A plane-wave DFT calculation with PBEsol was carried out for K2FeO4 after structural relaxation.

Structure (POSCAR):
```
K2FeO4
1.0
5.780 0.000 0.000
0.000 7.614 0.000
0.000 0.000 10.252
O K Fe
16 8 4
Direct
0.518 0.808 0.151 O
0.250 0.200 0.074 O
0.482 0.192 0.849 O
0.250 0.700 0.426 O
0.982 0.308 0.349 O
0.250 0.485 0.916 O
0.250 0.985 0.584 O
0.750 0.015 0.416 O
0.018 0.692 0.651 O
0.750 0.300 0.574 O
0.018 0.192 0.849 O
0.482 0.692 0.651 O
0.518 0.308 0.349 O
0.982 0.808 0.151 O
0.750 0.800 0.926 O
0.750 0.515 0.084 O
0.750 0.986 0.695 K
0.750 0.661 0.414 K
0.750 0.486 0.805 K
0.250 0.014 0.305 K
0.250 0.514 0.195 K
0.750 0.161 0.086 K
0.250 0.339 0.586 K
0.250 0.839 0.914 K
0.250 0.270 0.922 Fe
0.750 0.730 0.078 Fe
0.750 0.230 0.422 Fe
0.250 0.770 0.578 Fe
```

Computed properties:
**Energy relative to the elements, uncorrected**: -1.43 eV/atom
**Spin magnetization**: 2.00 μB per formula unit

***

A plane-wave DFT calculation with PBEsol was carried out for In2SnHgSb after structural relaxation.

Structure (POSCAR):
```
In2SnHgSb
1.0
-4.162 0.562 3.330
3.042 -1.669 4.084
1.518 5.244 1.012
In Sn Sb Hg
2 1 1 1
Direct
0.000 0.500 0.000 In
0.500 0.000 0.000 In
0.500 0.500 0.500 Sn
0.000 0.000 0.500 Sb
0.000 0.000 0.000 Hg
```

Computed properties:
**Energy relative to the elements, uncorrected**: 0.47 eV/atom
**Spin magnetization**: 0.00 μB per formula unit

***

A plane-wave DFT calculation with PBEsol was carried out for MgMnAl2 after structural relaxation.

Structure (POSCAR):
```
MgMnAl2
1.0
-1.181 -1.358 2.387
-1.786 -3.144 -2.672
3.724 -2.482 0.431
Al Mn Mg
2 1 1
Direct
0.000 0.000 0.500 Al
0.000 0.500 0.000 Al
0.500 0.000 0.000 Mn
0.500 0.500 0.500 Mg
```

Computed properties:
**Energy relative to the elements**: 0.097 eV/atom
**Spin magnetization**: 2.45 μB per formula unit

***

A plane-wave DFT calculation with PBEsol was carried out for KEr2Cu3Se5 after structural relaxation.

Structure (POSCAR):
```
KEr2Cu3Se5
1.0
4.026 0.000 0.000
-2.013 7.050 0.000
0.000 0.000 16.552
Er Cu K Se
4 6 2 10
Direct
0.808 0.616 0.093 Er
0.808 0.616 0.407 Er
0.192 0.384 0.907 Er
0.192 0.384 0.593 Er
0.414 0.828 0.527 Cu
0.340 0.680 0.250 Cu
0.586 0.172 0.473 Cu
0.660 0.320 0.750 Cu
0.586 0.172 0.027 Cu
0.414 0.828 0.973 Cu
0.060 0.120 0.250 K
0.940 0.880 0.750 K
0.747 0.495 0.250 Se
0.443 0.885 0.120 Se
0.836 0.671 0.574 Se
0.164 0.329 0.074 Se
0.253 0.505 0.750 Se
0.557 0.115 0.880 Se
0.836 0.671 0.926 Se
0.557 0.115 0.620 Se
0.164 0.329 0.426 Se
0.443 0.885 0.380 Se
```

Computed properties:
**Energy relative to the elements, uncorrected**: -1.12 eV/atom
**Spin magnetization**: 0.00 μB per formula unit

***

A plane-wave DFT calculation with PBEsol was carried out for IrRhW2 after structural relaxation.

Structure (POSCAR):
```
IrRhW2
1.0
-0.536 -2.315 1.377
3.756 -2.080 -2.033
2.249 2.917 3.040
W Rh Ir
2 1 1
Direct
0.249 0.249 0.498 W
0.751 0.751 0.502 W
0.000 0.500 0.000 Rh
0.500 0.000 0.000 Ir
```

Computed properties:
**Energy relative to the elements**: -0.060 eV/atom
**Polymorph energy (0 for the lowest one)**: 18.5 kJ/mol of atoms
**Spin magnetization**: 0.00 μB per formula unit

***

A plane-wave DFT calculation with PBEsol was carried out for RbCa2C after structural relaxation.

Structure (POSCAR):
```
RbCa2C
1.0
-0.794 -7.257 -2.586
1.382 -5.971 4.735
-5.867 -4.387 2.515
Ca C Rb
4 2 2
Direct
0.125 0.625 0.125 Ca
0.125 0.125 0.125 Ca
0.125 0.125 0.625 Ca
0.625 0.125 0.125 Ca
0.000 0.000 0.000 C
0.250 0.250 0.250 C
0.500 0.500 0.500 Rb
0.750 0.750 0.750 Rb
```

Computed properties:
**Energy relative to the elements**: 0.496 eV/atom
**Spin magnetization**: 0.00 μB per formula unit

***

A plane-wave DFT calculation with PBEsol was carried out for HfMn6Ge6 after structural relaxation.

Structure (POSCAR):
```
HfMn6Ge6
1.0
5.029 0.000 0.000
-2.515 4.356 0.000
0.000 0.000 7.983
Ge Mn Hf
6 6 1
Direct
0.000 0.000 0.660 Ge
0.333 0.667 0.500 Ge
0.333 0.667 0.000 Ge
0.667 0.333 0.000 Ge
0.000 0.000 0.340 Ge
0.667 0.333 0.500 Ge
0.000 0.500 0.751 Mn
0.500 0.000 0.751 Mn
0.500 0.000 0.249 Mn
0.500 0.500 0.249 Mn
0.000 0.500 0.249 Mn
0.500 0.500 0.751 Mn
0.000 0.000 0.000 Hf
```

Computed properties:
**Energy relative to the elements**: -0.311 eV/atom
**Spin magnetization**: 11.35 μB per formula unit

***

A plane-wave DFT calculation with PBEsol was carried out for La2MoRh after structural relaxation.

Structure (POSCAR):
```
La2MoRh
1.0
3.149 0.000 0.000
0.000 3.149 0.000
0.000 0.000 9.227
Mo La Rh
1 2 1
Direct
0.000 0.000 0.554 Mo
0.500 0.500 0.309 La
0.000 0.000 0.940 La
0.500 0.500 0.697 Rh
```

Computed properties:
**Energy relative to the elements**: 0.105 eV/atom
**Polymorph energy (0 for the lowest one)**: 0.0 kJ/mol of atoms
**Spin magnetization**: 0.00 μB per formula unit

***

A plane-wave DFT calculation with PBEsol was carried out for LiTa3Fe after structural relaxation.

Structure (POSCAR):
```
LiTa3Fe
1.0
4.560 0.000 0.000
0.000 4.560 0.000
0.000 0.000 4.560
Fe Ta Li
1 3 1
Direct
0.000 0.000 0.000 Fe
0.000 0.000 0.500 Ta
0.000 0.500 0.000 Ta
0.500 0.000 0.000 Ta
0.500 0.500 0.500 Li
```

Computed properties:
**Energy relative to the elements**: 0.864 eV/atom
**Spin magnetization**: 0.00 μB per formula unit

***

A plane-wave DFT calculation with PBEsol was carried out for Y5Mg after structural relaxation.

Structure (POSCAR):
```
Y5Mg
1.0
3.550 0.000 0.000
0.000 5.554 0.000
-1.775 0.000 9.046
Y Mg
5 1
Direct
0.332 0.000 0.664 Y
0.111 0.500 0.221 Y
0.663 0.000 0.325 Y
0.779 0.500 0.559 Y
0.449 0.500 0.898 Y
0.000 0.000 0.999 Mg
```

Computed properties:
**Energy relative to the elements**: 0.014 eV/atom
**Polymorph energy (0 for the lowest one)**: 2.7 kJ/mol of atoms
**Spin magnetization**: 0.02 μB per formula unit

***

A plane-wave DFT calculation with PBEsol was carried out for BaCd2CuRe after structural relaxation.

Structure (POSCAR):
```
BaCd2CuRe
1.0
5.239 0.000 0.000
0.000 5.239 0.000
0.000 0.000 5.500
Cd Cu Re Ba
2 1 1 1
Direct
0.000 0.500 0.000 Cd
0.500 0.000 0.000 Cd
0.500 0.500 0.500 Cu
0.000 0.000 0.000 Re
0.000 0.000 0.500 Ba
```

Computed properties:
**Energy relative to the elements**: 1.194 eV/atom
**Spin magnetization**: 0.74 μB per formula unit

***

A plane-wave DFT calculation with PBEsol was carried out for InFe2 after structural relaxation.

Structure (POSCAR):
```
InFe2
1.0
2.896 0.000 0.000
-1.448 2.508 0.000
0.000 0.000 6.097
Fe In
2 1
Direct
0.333 0.667 0.635 Fe
0.667 0.333 0.365 Fe
0.000 0.000 0.000 In
```

Computed properties:
**Energy relative to the elements**: 0.383 eV/atom
**Spin magnetization**: 4.79 μB per formula unit

***

A plane-wave DFT calculation with PBEsol was carried out for ScMo4 after structural relaxation.

Structure (POSCAR):
```
ScMo4
1.0
-1.066 -0.520 -2.918
-2.122 -4.829 -0.064
-4.996 1.685 -0.176
Sc Mo
1 4
Direct
0.000 0.000 0.000 Sc
0.394 0.795 0.416 Mo
0.606 0.205 0.584 Mo
0.189 0.416 0.205 Mo
0.811 0.584 0.795 Mo
```

Computed properties:
**Energy relative to the elements**: 0.038 eV/atom
**Spin magnetization**: 0.00 μB per formula unit